1.
Compound: ThFeTc
Source: Alexandria
Functional: PBE-GGA
Structure: optimized geometry

**ΔE to the lowest computed polymorph**: 71 meV/atom
**Density of states at the Fermi level**: 3.168 states/eV/cell
**Space-group type**: P3m1

abc: 3.932 3.932 4.488
angles: 90.00 90.00 120.00
Fractional coordinates of all 3 atoms:
Th  0.000  0.000  0.000
Fe  0.333  0.667  0.436
Tc  0.667  0.333  0.549

---

2.
Compound: Ho8Tm3Th2
Source: Alexandria
Functional: PBE-GGA
Structure: optimized geometry

**ΔE to the lowest computed polymorph**: 0 meV/atom
**Density of states at the Fermi level**: 36.740 states/eV/cell
**Space-group type**: P-1

abc: 6.489 8.669 15.234
angles: 73.66 87.83 82.63
Fractional coordinates of all 26 atoms:
Ho  0.001  0.248  0.249
Ho  0.005  0.351  0.443
Ho  0.046  0.037  0.873
Ho  0.152  0.318  0.019
Ho  0.191  0.684  0.324
Ho  0.229  0.103  0.632
Ho  0.248  0.596  0.134
Ho  0.493  0.290  0.332
Ho  0.507  0.710  0.668
Ho  0.752  0.404  0.866
Ho  0.771  0.897  0.368
Ho  0.809  0.316  0.676
Ho  0.848  0.682  0.981
Ho  0.954  0.963  0.127
Ho  0.995  0.649  0.557
Ho  0.999  0.752  0.751
Tm  0.281  0.370  0.770
Tm  0.419  0.013  0.212
Tm  0.500  0.000  0.000
Tm  0.500  0.500  0.500
Tm  0.581  0.987  0.788
Tm  0.719  0.630  0.230
Th  0.264  0.953  0.450
Th  0.364  0.666  0.914
Th  0.636  0.334  0.086
Th  0.736  0.047  0.550

---

> Which formula does entry 2 have?

Ho8Tm3Th2

---

> What is the ΔE to the lowest computed polymorph in the second record?

0 meV/atom

---

Please write out number 1 again, unchanged.
Compound: ThFeTc
Source: Alexandria
Functional: PBE-GGA
Structure: optimized geometry

**ΔE to the lowest computed polymorph**: 71 meV/atom
**Density of states at the Fermi level**: 3.168 states/eV/cell
**Space-group type**: P3m1

abc: 3.932 3.932 4.488
angles: 90.00 90.00 120.00
Fractional coordinates of all 3 atoms:
Th  0.000  0.000  0.000
Fe  0.333  0.667  0.436
Tc  0.667  0.333  0.549